(1)
Density functional theory data (PBE-GGA) for an optimized crystal structure of Lu4C2SeS.

Lattice parameters (Å, degrees): 3.6374 3.6374 12.7274 90.00 90.00 120.00
Atoms (fractional coordinates):
Lu1 0.0000 0.0000 0.1443
Lu2 0.0000 0.0000 0.8557
Lu3 0.3333 0.6667 0.3461
Lu4 0.3333 0.6667 0.6539
C1 0.6667 0.3333 0.2454
C2 0.6667 0.3333 0.7546
Se1 0.0000 0.0000 0.5000
S1 0.3333 0.6667 0.0000

## Properties
- crystal system = hexagonal
- final energy (eV per atom) = -6.78

***

(2)
Density functional theory data (PBE-GGA) for an optimized crystal structure of SrMgAlZn2.

Lattice parameters (Å, degrees): 6.4763 6.4763 6.4763 139.45 139.45 58.69
Atoms (fractional coordinates):
Sr1 0.0000 0.0000 0.0000
Mg1 0.3740 0.3740 0.0000
Al1 0.6238 0.6238 0.0000
Zn1 0.2368 0.7368 0.5000
Zn2 0.7368 0.2368 0.5000

## Properties
- crystal system = tetragonal
- final energy (eV per atom) = -2.04